*one*
The following is a DFT calculation (GGA-PBE) of a geometry-optimized Ac2CdHg2 structure.

a = 12.030 Å, b = 4.982 Å, c = 11.864 Å
α = 90.00°, β = 117.18°, γ = 90.00°
Space group C2/m (No. 12)
Symmetry-distinct sites (fractional):
Ac1 0.018 0.000 0.340 x4
Ac2 0.187 0.000 0.106 x4
Cd1 0.221 0.500 0.345 x4
Hg1 0.031 0.500 0.885 x4
Hg2 0.142 0.500 0.569 x4

Results
Spin magnetization, μB per cell: 0.000

---

*two*
The following is a DFT calculation (GGA-PBE) of a geometry-optimized Ac2CdHg2 structure.

a = 5.890 Å, b = 5.890 Å, c = 9.570 Å
α = 90.00°, β = 107.31°, γ = 90.00°
Space group C2/m (No. 12)
Symmetry-distinct sites (fractional):
Ac1 0.103 0.000 0.217 x4
Cd1 0.000 0.500 0.000 x2
Hg1 0.198 0.500 0.409 x4

Results
Spin magnetization, μB per cell: 0.000

---

Energy relative to the most stable one, in meV per atom: *one* 0; *two* 29

---

*one*
The following is a DFT calculation (GGA-PBE) of a geometry-optimized AcNdCdHg structure.

a = 7.920 Å, b = 7.920 Å, c = 7.920 Å
α = 90.00°, β = 90.00°, γ = 90.00°
Space group F-43m (No. 216)
Symmetry-distinct sites (fractional):
Ac1 0.000 0.000 0.000 x4
Nd1 0.000 0.000 0.500 x4
Cd1 0.250 0.250 0.250 x4
Hg1 0.250 0.250 0.750 x4

Results
Spin magnetization, μB per cell: 3.136

---

*two*
The following is a DFT calculation (GGA-PBE) of a geometry-optimized AcNdCdHg structure.

a = 3.945 Å, b = 3.945 Å, c = 7.943 Å
α = 90.00°, β = 90.00°, γ = 90.00°
Space group P4mm (No. 99)
Symmetry-distinct sites (fractional):
Ac1 0.000 0.000 0.000 x1
Nd1 0.000 0.000 0.496 x1
Cd1 0.500 0.500 0.726 x1
Hg1 0.500 0.500 0.273 x1

Results
Spin magnetization, μB per cell: 0.657

---

Energy relative to the most stable one, in meV per atom: *one* 18; *two* 0

---

*one*
The following is a DFT calculation (GGA-PBE) of a geometry-optimized AcPmCdHg structure.

a = 3.925 Å, b = 3.925 Å, c = 7.942 Å
α = 90.00°, β = 90.00°, γ = 90.00°
Space group P4mm (No. 99)
Symmetry-distinct sites (fractional):
Ac1 0.000 0.000 0.000 x1
Pm1 0.000 0.000 0.496 x1
Cd1 0.500 0.500 0.724 x1
Hg1 0.500 0.500 0.276 x1

Results
Spin magnetization, μB per cell: 0.601

---

*two*
The following is a DFT calculation (GGA-PBE) of a geometry-optimized AcPmCdHg structure.

a = 7.898 Å, b = 7.898 Å, c = 7.898 Å
α = 90.00°, β = 90.00°, γ = 90.00°
Space group F-43m (No. 216)
Symmetry-distinct sites (fractional):
Ac1 0.000 0.000 0.000 x4
Pm1 0.000 0.000 0.500 x4
Cd1 0.250 0.250 0.750 x4
Hg1 0.250 0.250 0.250 x4

Results
Spin magnetization, μB per cell: 3.140

---

Energy relative to the most stable one, in meV per atom: *one* 0; *two* 22

---

*one*
The following is a DFT calculation (GGA-PBE) of a geometry-optimized AcCdSnHg structure.

a = 7.757 Å, b = 7.757 Å, c = 7.757 Å
α = 90.00°, β = 90.00°, γ = 90.00°
Space group F-43m (No. 216)
Symmetry-distinct sites (fractional):
Ac1 0.000 0.000 0.000 x4
Cd1 0.000 0.000 0.500 x4
Sn1 0.250 0.250 0.250 x4
Hg1 0.250 0.250 0.750 x4

Results
Spin magnetization, μB per cell: 0.000

---

*two*
The following is a DFT calculation (GGA-PBE) of a geometry-optimized AcCdSnHg structure.

a = 4.8750 Å, b = 4.8750 Å, c = 6.2586 Å
α = 90.00°, β = 90.00°, γ = 120.00°
Space group P3m1 (No. 156)
Symmetry-distinct sites (fractional):
Ac1 0.0000 0.0000 0.0000 x1
Cd1 0.6667 0.3333 0.4985 x1
Sn1 0.3333 0.6667 0.2849 x1
Hg1 0.3333 0.6667 0.7377 x1

Results
Spin magnetization, μB per cell: 0.000

---

Energy relative to the most stable one, in meV per atom: *one* 0; *two* 96

---

*one*
The following is a DFT calculation (GGA-PBE) of a geometry-optimized AcTbCdHg structure.

a = 3.856 Å, b = 3.856 Å, c = 7.991 Å
α = 90.00°, β = 90.00°, γ = 90.00°
Space group P4mm (No. 99)
Symmetry-distinct sites (fractional):
Ac1 0.000 0.000 0.000 x1
Tb1 0.000 0.000 0.506 x1
Cd1 0.500 0.500 0.283 x1
Hg1 0.500 0.500 0.714 x1

Results
Spin magnetization, μB per cell: 0.279

---

*two*
The following is a DFT calculation (GGA-PBE) of a geometry-optimized AcTbCdHg structure.

a = 7.839 Å, b = 7.839 Å, c = 7.839 Å
α = 90.00°, β = 90.00°, γ = 90.00°
Space group F-43m (No. 216)
Symmetry-distinct sites (fractional):
Ac1 0.000 0.000 0.000 x4
Tb1 0.000 0.000 0.500 x4
Cd1 0.250 0.250 0.750 x4
Hg1 0.250 0.250 0.250 x4

Results
Spin magnetization, μB per cell: 2.760

---

Energy relative to the most stable one, in meV per atom: *one* 0; *two* 38

---

*one*
The following is a DFT calculation (GGA-PBE) of a geometry-optimized AcHo3Cd2 structure.

a = 3.743 Å, b = 3.743 Å, c = 12.757 Å
α = 90.00°, β = 90.00°, γ = 90.00°
Space group P4/mmm (No. 123)
Symmetry-distinct sites (fractional):
Ac1 0.000 0.000 0.000 x1
Ho1 0.500 0.500 0.210 x2
Ho2 0.500 0.500 0.500 x1
Cd1 0.000 0.000 0.355 x2

Results
Spin magnetization, μB per cell: 0.000

---

*two*
The following is a DFT calculation (GGA-PBE) of a geometry-optimized AcHo3Cd2 structure.

a = 16.496 Å, b = 5.495 Å, c = 8.961 Å
α = 90.00°, β = 115.45°, γ = 90.00°
Space group C2/m (No. 12)
Symmetry-distinct sites (fractional):
Ac1 0.132 0.000 0.185 x4
Ho1 0.066 0.000 0.721 x4
Ho2 0.115 0.500 0.531 x4
Ho3 0.196 0.500 0.992 x4
Cd1 0.004 0.500 0.162 x4
Cd2 0.229 0.000 0.609 x4

Results
Spin magnetization, μB per cell: 0.003

---

Energy relative to the most stable one, in meV per atom: *one* 0; *two* 57